The following is a PBE calculation of a geometry-optimized Cu2RuW structure, from Alexandria.

abc: 6.8740 6.8740 4.9793
angles: 90.00 90.00 90.00
Closest atoms and distances in Å follow each position.
Space group I-42d (No. 122)
One atom of each set of equivalent atoms:
Cu1 0.2481 0.7500 0.1250  2 Cu 2.49, 2 Ru 2.50, 2 W 2.52
Ru1 0.0000 0.0000 0.0000  2 W 2.49, 4 Cu 2.50
W1 0.0000 0.0000 0.5000  2 Ru 2.49, 4 Cu 2.52

Uncorrected energy (eV for the cell shown): -107.8
E_form (eV/atom): 0.8702
Relative energy among the computed polymorphs (meV/atom): 701